This record from Alexandria describes a relaxed structure of VNi2Rh6. The functional is PBE.

Cell: 3.792 4.597 8.053 Å, 72.11 76.38 65.65°
Element x y z (fractional)
V  0.000  0.500  0.500
Ni  0.333  0.616  0.719
Ni  0.667  0.384  0.281
Rh  0.666  0.723  0.946
Rh  0.334  0.277  0.054
Rh  0.004  0.815  0.176
Rh  0.336  0.938  0.391
Rh  0.996  0.185  0.824
Rh  0.664  0.062  0.609

Results
Formation energy   -136 meV per atom
Space group   C2/m, No. 12

This record from Alexandria describes a relaxed structure of BaZr2NbIn. The functional is PBE.

Cell: 5.235 5.632 5.235 Å, 90.00 90.00 90.00°
Element x y z (fractional)
Nb  0.500  0.500  0.500
Ba  0.000  0.000  0.000
Zr  0.000  0.000  0.500
Zr  0.500  0.000  0.000
In  0.000  0.500  0.000

Results
Formation energy   2170 meV per atom
Space group   P4/mmm, No. 123

This record from Alexandria describes a relaxed structure of Cd7Ga. The functional is PBE.

Cell: 6.325 6.325 6.325 Å, 60.00 60.00 60.00°
Element x y z (fractional)
Cd  0.500  0.500  0.000
Cd  0.500  0.000  0.500
Cd  0.000  0.500  0.500
Cd  0.500  0.000  0.000
Cd  0.000  0.500  0.000
Cd  0.000  0.000  0.500
Cd  0.500  0.500  0.500
Ga  0.000  0.000  0.000

Results
Formation energy   32 meV per atom
Space group   Fm-3m, No. 225

This record from Alexandria describes a relaxed structure of AcZnAgAu. The functional is PBE.

Cell: 5.140 5.140 5.140 Å, 60.00 60.00 60.00°
Element x y z (fractional)
Ac  0.750  0.750  0.750
Au  0.000  0.000  0.000
Zn  0.500  0.500  0.500
Ag  0.250  0.250  0.250

Results
Formation energy   -336 meV per atom
Space group   F-43m, No. 216
ΔE to the lowest computed polymorph   105 meV per atom

This record from Alexandria describes a relaxed structure of MgAl2ZnAg. The functional is PBE.

Cell: 3.887 3.887 6.767 Å, 106.69 106.69 90.00°
Element x y z (fractional)
Mg  0.503  0.503  0.006
Al  0.747  0.247  0.494
Al  0.247  0.747  0.494
Zn  0.105  0.105  0.209
Ag  0.898  0.898  0.796

Results
Formation energy   -21 meV per atom
Space group   I4mm, No. 107

This record from Alexandria describes a relaxed structure of TbPm12Sm6. The functional is PBE.

Cell: 9.896 9.896 9.896 Å, 112.01 112.01 112.01°
Element x y z (fractional)
Tb  0.000  0.000  0.000
Pm  0.882  0.118  0.500
Pm  0.272  0.909  0.272
Pm  0.272  0.272  0.909
Pm  0.091  0.728  0.728
Pm  0.728  0.728  0.091
Pm  0.728  0.091  0.728
Pm  0.500  0.882  0.118
Pm  0.118  0.500  0.882
Pm  0.118  0.882  0.500
Pm  0.500  0.118  0.882
Pm  0.882  0.500  0.118
Pm  0.909  0.272  0.272
Sm  0.730  0.481  0.730
Sm  0.730  0.730  0.481
Sm  0.481  0.730  0.730
Sm  0.270  0.270  0.519
Sm  0.270  0.519  0.270
Sm  0.519  0.270  0.270

Results
Formation energy   315 meV per atom
Space group   R-3m, No. 166
ΔE to the lowest computed polymorph   180 meV per atom

This record from Alexandria describes a relaxed structure of Sm3AlCd. The functional is PBE.

Cell: 5.271 5.278 10.472 Å, 90.00 75.42 90.00°
Element x y z (fractional)
Sm  0.759  0.250  0.130
Sm  0.386  0.250  0.876
Sm  0.573  0.250  0.502
Sm  0.262  0.750  0.124
Sm  0.889  0.750  0.870
Sm  0.075  0.750  0.498
Al  0.481  0.750  0.687
Al  0.168  0.250  0.313
Cd  0.668  0.750  0.313
Cd  0.981  0.250  0.687

Results
Formation energy   -246 meV per atom
Space group   Cmcm, No. 63
ΔE to the lowest computed polymorph   0 meV per atom

This record from Alexandria describes a relaxed structure of Th8TcBi2. The functional is PBE.

Cell: 5.628 6.885 10.002 Å, 112.73 106.34 90.00°
Element x y z (fractional)
Th  0.410  0.569  0.821
Th  0.639  0.978  0.277
Th  0.779  0.679  0.558
Th  0.999  0.234  0.999
Th  0.221  0.321  0.442
Th  0.361  0.022  0.723
Th  0.590  0.431  0.179
Th  0.001  0.766  0.001
Tc  0.500  0.000  0.000
Bi  0.829  0.265  0.658
Bi  0.171  0.735  0.342

Results
Formation energy   -101 meV per atom
Space group   C2/m, No. 12

This record from Alexandria describes a relaxed structure of PuZr2N4. The functional is PBE.

Cell: 3.228 5.591 10.546 Å, 90.00 90.00 106.78°
Element x y z (fractional)
Pu  0.611  0.223  0.750
Pu  0.389  0.777  0.250
Zr  0.133  0.266  0.433
Zr  0.867  0.734  0.933
Zr  0.133  0.266  0.067
Zr  0.867  0.734  0.567
N  0.769  0.538  0.119
N  0.769  0.538  0.381
N  0.231  0.462  0.881
N  0.231  0.462  0.619
N  0.970  0.941  0.750
N  0.030  0.059  0.250
N  0.500  0.000  0.000
N  0.500  0.000  0.500

Results
Uncorrected formation energy   -1.3677 eV/atom
Space group   Cmcm, No. 63
ΔE to the lowest computed polymorph   0 meV per atom

This record from Alexandria describes a relaxed structure of CaFeC2. The functional is PBE.

Cell: 3.903 3.903 3.903 Å, 60.00 60.00 60.00°
Element x y z (fractional)
C  0.250  0.250  0.250
C  0.750  0.750  0.750
Ca  0.000  0.000  0.000
Fe  0.500  0.500  0.500

Results
Formation energy   1421 meV per atom
Space group   Fm-3m, No. 225

This record from Alexandria describes a relaxed structure of NpU2Tl3S6. The functional is PBE.

Cell: 6.996 6.996 7.918 Å, 98.47 98.47 120.00°
Element x y z (fractional)
Np  0.000  0.000  0.000
U  0.333  0.667  0.000
U  0.667  0.333  0.000
Tl  0.166  0.834  0.500
Tl  0.834  0.166  0.500
Tl  0.500  0.500  0.500
S  0.935  0.599  0.806
S  0.728  0.728  0.193
S  0.065  0.401  0.194
S  0.599  0.935  0.806
S  0.272  0.272  0.807
S  0.401  0.065  0.194

Results
Uncorrected formation energy   -1.0267 eV/atom
Space group   C2/m, No. 12

This record from Alexandria describes a relaxed structure of Ba2TiTl3S6. The functional is PBE.

Cell: 7.598 7.598 7.349 Å, 100.38 100.38 121.07°
Element x y z (fractional)
Ba  0.332  0.668  0.000
Ba  0.668  0.332  0.000
Ti  0.000  0.000  0.000
Tl  0.156  0.844  0.500
Tl  0.844  0.156  0.500
Tl  0.500  0.500  0.500
S  0.923  0.660  0.791
S  0.797  0.797  0.216
S  0.077  0.340  0.209
S  0.660  0.923  0.791
S  0.203  0.203  0.784
S  0.340  0.077  0.209

Results
Uncorrected formation energy   -1.0862 eV/atom
Space group   C2/m, No. 12

Number 1: raw total energy -7.335 eV per atom, DOS(E_F) 1.39 states/eV/atom. Number 2: raw total energy -4.196 eV per atom, DOS(E_F) 2.16 states/eV/atom. Number 3: raw total energy -1.147 eV per atom, DOS(E_F) 0.41 states/eV/atom. Number 4: raw total energy -3.214 eV per atom, DOS(E_F) 0.92 states/eV/atom. Number 5: raw total energy -2.662 eV per atom, DOS(E_F) 0.45 states/eV/atom. Number 6: raw total energy -4.419 eV per atom, DOS(E_F) 1.74 states/eV/atom. Number 7: raw total energy -4.009 eV per atom, DOS(E_F) 1.24 states/eV/atom. Number 8: raw total energy -7.145 eV per atom, DOS(E_F) 1.16 states/eV/atom. Number 9: raw total energy -10.615 eV per atom, DOS(E_F) 0.78 states/eV/atom. Number 10: raw total energy -5.807 eV per atom, DOS(E_F) 0.53 states/eV/atom. Number 11: raw total energy -6.642 eV per atom, DOS(E_F) 1.64 states/eV/atom. Number 12: raw total energy -4.720 eV per atom, DOS(E_F) 0.28 states/eV/atom.